Record 1
{"formula": "RbSbTe2Ru", "functional": "PBE", "state": "relaxed", "lattice_angstrom": [[-3.409, 1.767, 4.095], [-4.408, -0.550, -3.432], [-0.609, -4.752, 1.543]], "species": ["Te", "Te", "Rb", "Ru", "Sb"], "frac_coords": [[0.500, 0.000, 0.000], [0.000, 0.500, 0.000], [0.500, 0.500, 0.500], [0.000, 0.000, 0.000], [0.000, 0.000, 0.500]], "formation_energy_uncorrected_ev_per_atom": 0.0276, "sg": "No. 123", "m_tot_mub_per_fu": 1.2, "polymorph_energy_mev_per_atom": 0}

=====

Record 2
{"formula": "RbSbTe2Ru", "functional": "PBE", "state": "relaxed", "lattice_angstrom": [[6.117, 0.000, 0.000], [0.000, 6.117, 0.000], [0.000, 0.000, 5.905]], "species": ["Te", "Te", "Sb", "Ru", "Rb"], "frac_coords": [[0.000, 0.500, 0.000], [0.500, 0.000, 0.000], [0.000, 0.000, 0.500], [0.500, 0.500, 0.500], [0.000, 0.000, 0.000]], "formation_energy_uncorrected_ev_per_atom": 1.9880, "sg": "No. 123", "m_tot_mub_per_fu": 3.2, "polymorph_energy_mev_per_atom": 1960}

=====

Record 3
{"formula": "Rb2ScRu", "functional": "PBE", "state": "relaxed", "lattice_angstrom": [[0.000, 3.959, 3.959], [3.959, 0.000, 3.959], [3.959, 3.959, 0.000]], "species": ["Sc", "Rb", "Rb", "Ru"], "frac_coords": [[0.000, 0.000, 0.000], [0.750, 0.750, 0.750], [0.250, 0.250, 0.250], [0.500, 0.500, 0.500]], "sg": "No. 225", "m_tot_mub_per_fu": 0.0, "polymorph_energy_mev_per_atom": 854}

=====

Record 4
{"formula": "RbSc2Ru", "functional": "PBE", "state": "relaxed", "lattice_angstrom": [[3.626, -3.363, 0.750], [-0.715, -4.779, -1.291], [2.464, -1.933, -3.900]], "species": ["Rb", "Sc", "Sc", "Ru"], "frac_coords": [[0.000, 0.000, 0.000], [0.750, 0.750, 0.750], [0.250, 0.250, 0.250], [0.500, 0.500, 0.500]], "sg": "No. 225", "m_tot_mub_per_fu": 0.0, "polymorph_energy_mev_per_atom": 147}

=====

Record 5
{"formula": "Rb3ScRu", "functional": "PBE", "state": "relaxed", "lattice_angstrom": [[6.217, 0.000, 0.000], [0.000, 6.217, 0.000], [0.000, 0.000, 6.217]], "species": ["Rb", "Rb", "Rb", "Ru", "Sc"], "frac_coords": [[0.500, 0.000, 0.000], [0.000, 0.500, 0.000], [0.000, 0.000, 0.500], [0.000, 0.000, 0.000], [0.500, 0.500, 0.500]], "sg": "No. 221", "m_tot_mub_per_fu": 0.2, "polymorph_energy_mev_per_atom": 0}

=====

Record 6
{"formula": "Rb2ScRu", "functional": "PBE", "state": "relaxed", "lattice_angstrom": [[13.066, 0.000, 0.000], [0.000, 13.066, 0.000], [6.533, 6.533, 2.339]], "species": ["Rb", "Rb", "Rb", "Rb", "Sc", "Sc", "Ru", "Ru"], "frac_coords": [[0.958, 0.625, 0.250], [0.792, 0.125, 0.250], [0.875, 0.042, 0.750], [0.375, 0.208, 0.750], [0.500, 0.500, 0.000], [0.250, 0.750, 0.500], [0.750, 0.250, 0.500], [0.000, 0.000, 0.000]], "sg": "No. 122", "m_tot_mub_per_fu": 0.0, "polymorph_energy_mev_per_atom": 0}

=====

Record 7
{"formula": "RbSc2Ru", "functional": "PBE", "state": "relaxed", "lattice_angstrom": [[7.787, 0.000, 0.000], [0.000, 7.787, 0.000], [3.893, 3.893, 5.528]], "species": ["Rb", "Rb", "Ru", "Ru", "Sc", "Sc", "Sc", "Sc"], "frac_coords": [[0.250, 0.750, 0.500], [0.500, 0.500, 0.000], [0.750, 0.250, 0.500], [0.000, 0.000, 0.000], [0.875, 0.125, 0.750], [0.875, 0.125, 0.250], [0.875, 0.625, 0.250], [0.375, 0.125, 0.750]], "sg": "No. 141", "m_tot_mub_per_fu": 0.0, "polymorph_energy_mev_per_atom": 0}

=====

Record 8
{"formula": "RbRuSe2", "functional": "PBE", "state": "relaxed", "lattice_angstrom": [[-0.320, 1.407, -7.486], [3.765, -6.484, -1.379], [-1.802, -4.537, -4.658]], "species": ["Se", "Se", "Se", "Se", "Rb", "Rb", "Ru", "Ru"], "frac_coords": [[0.006, 0.625, 0.250], [0.375, 0.256, 0.750], [0.875, 0.994, 0.750], [0.744, 0.125, 0.250], [0.250, 0.750, 0.500], [0.500, 0.500, 0.000], [0.750, 0.250, 0.500], [0.000, 0.000, 0.000]], "formation_energy_uncorrected_ev_per_atom": -0.4774, "sg": "No. 122", "m_tot_mub_per_fu": 0.0}

=====

Record 9
{"formula": "RbRuSe2", "functional": "PBE", "state": "relaxed", "lattice_angstrom": [[0.000, 3.481, 3.481], [3.481, 0.000, 3.481], [3.481, 3.481, 0.000]], "species": ["Se", "Se", "Ru", "Rb"], "frac_coords": [[0.750, 0.750, 0.750], [0.250, 0.250, 0.250], [0.500, 0.500, 0.500], [0.000, 0.000, 0.000]], "formation_energy_uncorrected_ev_per_atom": 0.3679, "sg": "No. 225", "m_tot_mub_per_fu": 0.0}

=====

Record 10
{"formula": "Rb2Ru2Se", "functional": "PBE", "state": "relaxed", "lattice_angstrom": [[-2.303, 1.828, 5.665], [0.421, -6.009, 2.110], [5.497, 1.051, 1.896]], "species": ["Ru", "Ru", "Ru", "Ru", "Se", "Se", "Rb", "Rb", "Rb", "Rb"], "frac_coords": [[0.363, 0.863, 0.000], [0.637, 0.137, 0.000], [0.137, 0.363, 0.000], [0.863, 0.637, 0.000], [0.000, 0.000, 0.000], [0.500, 0.500, 0.000], [0.680, 0.820, 0.500], [0.320, 0.180, 0.500], [0.180, 0.680, 0.500], [0.820, 0.320, 0.500]], "formation_energy_uncorrected_ev_per_atom": 0.4502, "sg": "No. 127", "m_tot_mub_per_fu": 0.0, "polymorph_energy_mev_per_atom": 0}

=====

Record 11
{"formula": "Rb3RuSe", "functional": "PBE", "state": "relaxed", "lattice_angstrom": [[-6.001, 2.701, -0.194], [-2.485, -5.680, -2.214], [-1.076, -1.945, 6.197]], "species": ["Rb", "Rb", "Rb", "Se", "Ru"], "frac_coords": [[0.000, 0.500, 0.000], [0.000, 0.000, 0.500], [0.500, 0.000, 0.000], [0.000, 0.000, 0.000], [0.500, 0.500, 0.500]], "formation_energy_uncorrected_ev_per_atom": 0.4599, "sg": "No. 221", "m_tot_mub_per_fu": 3.0, "polymorph_energy_mev_per_atom": 0}

=====

Record 12
{"formula": "RbRu5Se8", "functional": "PBE", "state": "relaxed", "lattice_angstrom": [[3.641, 0.000, -0.712], [-0.441, 8.537, -2.256], [-0.033, 0.057, 9.498]], "species": ["Ru", "Ru", "Ru", "Ru", "Ru", "Se", "Se", "Se", "Se", "Se", "Se", "Se", "Se", "Rb"], "frac_coords": [[0.299, 0.693, 0.597], [0.646, 0.984, 0.292], [0.020, 0.994, 0.040], [0.340, 0.006, 0.681], [0.703, 0.311, 0.406], [0.092, 0.805, 0.184], [0.916, 0.156, 0.832], [0.179, 0.486, 0.359], [0.435, 0.861, 0.871], [0.569, 0.188, 0.138], [0.825, 0.522, 0.650], [0.758, 0.854, 0.516], [0.237, 0.146, 0.473], [0.481, 0.495, 0.962]], "formation_energy_uncorrected_ev_per_atom": -0.3489, "sg": "No. 8", "m_tot_mub_per_fu": 0.0}

=====

Record 13
{"formula": "RbRu3Se", "functional": "PBE", "state": "relaxed", "lattice_angstrom": [[-2.936, -1.267, 3.485], [3.692, -1.414, 2.596], [0.347, 4.332, 1.867]], "species": ["Ru", "Ru", "Ru", "Se", "Rb"], "frac_coords": [[0.500, 0.000, 0.000], [0.000, 0.500, 0.000], [0.000, 0.000, 0.500], [0.000, 0.000, 0.000], [0.500, 0.500, 0.500]], "formation_energy_uncorrected_ev_per_atom": 1.1321, "sg": "No. 221", "m_tot_mub_per_fu": 2.6, "polymorph_energy_mev_per_atom": 0}

=====

Record 14
{"formula": "RbRu3Se", "functional": "PBE", "state": "relaxed", "lattice_angstrom": [[-1.791, 4.289, 1.589], [0.621, -1.463, 4.648], [4.532, 1.896, -0.009]], "species": ["Ru", "Ru", "Ru", "Se", "Rb"], "frac_coords": [[0.000, 0.500, 0.000], [0.000, 0.000, 0.500], [0.500, 0.000, 0.000], [0.500, 0.500, 0.500], [0.000, 0.000, 0.000]], "formation_energy_uncorrected_ev_per_atom": 2.9992, "sg": "No. 221", "m_tot_mub_per_fu": 6.7, "polymorph_energy_mev_per_atom": 1867}

=====

Record 15
{"formula": "RbRu2Se", "functional": "PBE", "state": "relaxed", "lattice_angstrom": [[-1.602, 2.100, 4.147], [-4.647, -0.831, -1.374], [-2.924, -7.072, 5.367]], "species": ["Ru", "Ru", "Ru", "Ru", "Se", "Se", "Rb", "Rb"], "frac_coords": [[0.875, 0.625, 0.750], [0.375, 0.125, 0.250], [0.375, 0.625, 0.750], [0.375, 0.625, 0.250], [0.250, 0.750, 0.500], [0.500, 0.500, 0.000], [0.000, 0.000, 0.000], [0.750, 0.250, 0.500]], "formation_energy_uncorrected_ev_per_atom": 0.5438, "sg": "No. 141", "m_tot_mub_per_fu": 1.1}

=====

Record 16
{"formula": "Rb2Ru2Se", "functional": "PBE", "state": "relaxed", "lattice_angstrom": [[-4.902, -3.167, -3.774], [4.523, -0.783, -5.218], [0.816, -5.137, -3.150]], "species": ["Ru", "Ru", "Rb", "Rb", "Se"], "frac_coords": [[0.655, 0.655, 0.689], [0.345, 0.345, 0.311], [0.750, 0.250, 0.500], [0.250, 0.750, 0.500], [0.000, 0.000, 0.000]], "formation_energy_uncorrected_ev_per_atom": 0.7747, "sg": "No. 139", "m_tot_mub_per_fu": 3.2, "polymorph_energy_mev_per_atom": 325}

=====

Record 17
{"formula": "RbSrRu2Se", "functional": "PBE", "state": "relaxed", "lattice_angstrom": [[5.299, 0.000, 0.000], [0.000, 5.955, 0.000], [0.000, 0.000, 5.299]], "species": ["Se", "Ru", "Ru", "Rb", "Sr"], "frac_coords": [[0.000, 0.500, 0.000], [0.500, 0.000, 0.000], [0.000, 0.000, 0.500], [0.500, 0.500, 0.500], [0.000, 0.000, 0.000]], "formation_energy_uncorrected_ev_per_atom": 1.3895, "sg": "No. 123", "m_tot_mub_per_fu": 4.5}

=====

Record 18
{"formula": "RbTc2RuSe", "functional": "PBE", "state": "relaxed", "lattice_angstrom": [[4.704, 0.000, 0.000], [0.000, 6.125, 0.000], [0.000, 0.000, 4.704]], "species": ["Tc", "Tc", "Ru", "Se", "Rb"], "frac_coords": [[0.500, 0.000, 0.000], [0.000, 0.000, 0.500], [0.000, 0.000, 0.000], [0.500, 0.500, 0.500], [0.000, 0.500, 0.000]], "formation_energy_uncorrected_ev_per_atom": 1.5189, "sg": "No. 123", "m_tot_mub_per_fu": 3.8}

=====

Record 19
{"formula": "Rb2TeRuSe", "functional": "PBE", "state": "relaxed", "lattice_angstrom": [[-5.924, -2.796, -2.178], [2.026, -4.477, 0.237], [-2.117, -0.611, 6.542]], "species": ["Te", "Rb", "Rb", "Se", "Ru"], "frac_coords": [[0.000, 0.000, 0.000], [0.000, 0.000, 0.500], [0.500, 0.000, 0.000], [0.500, 0.500, 0.500], [0.000, 0.500, 0.000]], "formation_energy_uncorrected_ev_per_atom": 0.2340, "sg": "No. 123", "m_tot_mub_per_fu": 2.5}

=====

Record 20
{"formula": "Rb3U3RuSe8", "functional": "PBE", "state": "relaxed", "lattice_angstrom": [[-5.497, -4.170, 4.022], [7.554, -2.583, -0.283], [-1.450, 7.489, 5.783]], "species": ["Se", "Se", "Se", "Se", "Se", "Se", "Se", "Se", "U", "U", "U", "Rb", "Rb", "Rb", "Ru"], "frac_coords": [[0.783, 0.031, 0.314], [0.248, 0.031, 0.314], [0.265, 0.531, 0.297], [0.217, 0.434, 0.686], [0.783, 0.566, 0.314], [0.217, 0.969, 0.686], [0.752, 0.969, 0.686], [0.735, 0.469, 0.703], [0.500, 0.500, 0.500], [0.500, 0.000, 0.500], [0.000, 0.500, 0.500], [0.000, 0.000, 0.000], [0.000, 0.500, 0.000], [0.500, 0.500, 0.000], [0.000, 0.000, 0.500]], "formation_energy_uncorrected_ev_per_atom": -1.0372, "sg": "No. 166", "m_tot_mub_per_fu": 7.0}

=====

Record 21
{"formula": "RbYRu2Se", "functional": "PBE", "state": "relaxed", "lattice_angstrom": [[5.150, 0.000, 0.000], [0.000, 5.691, 0.000], [0.000, 0.000, 5.150]], "species": ["Ru", "Ru", "Rb", "Y", "Se"], "frac_coords": [[0.000, 0.000, 0.500], [0.500, 0.000, 0.000], [0.500, 0.500, 0.500], [0.000, 0.000, 0.000], [0.000, 0.500, 0.000]], "formation_energy_uncorrected_ev_per_atom": 0.9254, "sg": "No. 123", "m_tot_mub_per_fu": 3.7}

=====

Record 22
{"formula": "RbSiRu3", "functional": "PBE", "state": "relaxed", "lattice_angstrom": [[4.786, 0.000, 0.000], [0.000, 4.786, 0.000], [0.000, 0.000, 4.786]], "species": ["Ru", "Ru", "Ru", "Rb", "Si"], "frac_coords": [[0.500, 0.000, 0.000], [0.000, 0.000, 0.500], [0.000, 0.500, 0.000], [0.000, 0.000, 0.000], [0.500, 0.500, 0.500]], "formation_energy_uncorrected_ev_per_atom": 3.1525, "sg": "No. 221", "m_tot_mub_per_fu": 4.4, "polymorph_energy_mev_per_atom": 2114}

=====

Record 23
{"formula": "RbSiRu3", "functional": "PBE", "state": "relaxed", "lattice_angstrom": [[4.626, 0.000, 0.000], [0.000, 4.626, 0.000], [0.000, 0.000, 4.626]], "species": ["Ru", "Ru", "Ru", "Rb", "Si"], "frac_coords": [[0.000, 0.000, 0.500], [0.500, 0.000, 0.000], [0.000, 0.500, 0.000], [0.500, 0.500, 0.500], [0.000, 0.000, 0.000]], "formation_energy_uncorrected_ev_per_atom": 1.0382, "sg": "No. 221", "m_tot_mub_per_fu": 2.8, "polymorph_energy_mev_per_atom": 0}

=====

Record 24
{"formula": "Rb2SiRu", "functional": "PBE", "state": "relaxed", "lattice_angstrom": [[13.122, 0.000, 0.000], [0.000, 13.122, 0.000], [6.561, 6.561, 2.261]], "species": ["Rb", "Rb", "Rb", "Rb", "Si", "Si", "Ru", "Ru"], "frac_coords": [[0.375, 0.139, 0.750], [0.861, 0.125, 0.250], [0.875, 0.111, 0.750], [0.889, 0.625, 0.250], [0.250, 0.750, 0.500], [0.500, 0.500, 0.000], [0.000, 0.000, 0.000], [0.750, 0.250, 0.500]], "formation_energy_uncorrected_ev_per_atom": 0.5272, "sg": "No. 122", "m_tot_mub_per_fu": 0.6}

=====

Record 25
{"formula": "RbSi3Ru", "functional": "PBE", "state": "relaxed", "lattice_angstrom": [[-4.853, -0.154, 1.872], [-1.870, -0.100, -4.855], [0.180, -5.201, 0.038]], "species": ["Si", "Si", "Si", "Ru", "Rb"], "frac_coords": [[0.500, 0.000, 0.000], [0.000, 0.500, 0.000], [0.000, 0.000, 0.500], [0.500, 0.500, 0.500], [0.000, 0.000, 0.000]], "formation_energy_uncorrected_ev_per_atom": 2.8895, "sg": "No. 221", "m_tot_mub_per_fu": 2.2, "polymorph_energy_mev_per_atom": 2490}

=====

Record 26
{"formula": "RbSi3Ru", "functional": "PBE", "state": "relaxed", "lattice_angstrom": [[4.778, 0.000, 0.000], [0.000, 4.778, 0.000], [0.000, 0.000, 4.778]], "species": ["Si", "Si", "Si", "Rb", "Ru"], "frac_coords": [[0.000, 0.000, 0.500], [0.000, 0.500, 0.000], [0.500, 0.000, 0.000], [0.500, 0.500, 0.500], [0.000, 0.000, 0.000]], "formation_energy_uncorrected_ev_per_atom": 0.3995, "sg": "No. 221", "m_tot_mub_per_fu": 1.5, "polymorph_energy_mev_per_atom": 0}

=====

Record 27
{"formula": "RbTlSi2Ru", "functional": "PBE", "state": "relaxed", "lattice_angstrom": [[-4.143, 3.190, -0.468], [-3.614, -4.837, -0.978], [-0.880, -0.386, 5.161]], "species": ["Tl", "Si", "Si", "Rb", "Ru"], "frac_coords": [[0.000, 0.000, 0.000], [0.500, 0.000, 0.000], [0.000, 0.000, 0.500], [0.000, 0.500, 0.000], [0.500, 0.500, 0.500]], "formation_energy_uncorrected_ev_per_atom": 1.8728, "sg": "No. 123", "m_tot_mub_per_fu": 2.6}